(one)
A plane-wave DFT calculation with PBE was carried out for a relaxed structure of K7Au2O2.

## Properties
Density of states at the Fermi level   3.5 states/eV per cell
M_tot   0.0000 μB per atom
Symmetry   C2/m, No. 12
Crystal system   monoclinic

a b c (Å): 5.2802 8.8773 9.4605
angles (deg): 62.02 82.22 73.23
Last column: nearest neighbours and their distance in Å.
Positions (direct):
K: 0.8257 0.1274 0.3037  1 O 2.56
K: 0.1743 0.8726 0.6963  1 O 2.56
K: 0.6941 0.6343 0.0000  3 O 2.68-2.74
K: 0.8257 0.4311 0.6963  1 O 2.56
K: 0.3059 0.3657 0.0000  3 O 2.68-2.74
K: 0.0000 0.0000 0.0000  2 O 2.66
K: 0.1743 0.5689 0.3037  1 O 2.56
Au: 0.5000 0.1809 0.6381  6 K 3.43-3.74
Au: 0.5000 0.8191 0.3619  6 K 3.43-3.74
O: 0.1680 0.6875 0.0000  6 K 2.56-2.74
O: 0.8320 0.3125 0.0000  6 K 2.56-2.74

---

(two)
A plane-wave DFT calculation with PBE was carried out for a relaxed structure of K7Au2O2.

## Properties
Density of states at the Fermi level   4.3 states/eV per cell
M_tot   0.0000 μB per atom
Symmetry   C2/m, No. 12
Crystal system   monoclinic

a b c (Å): 7.9390 8.2707 8.2707
angles (deg): 115.37 95.73 95.73
Last column: nearest neighbours and their distance in Å.
Positions (direct):
K: 0.2678 0.6230 0.9309  1 O 2.49
K: 0.7322 0.0691 0.3770  1 O 2.49
K: 0.7322 0.3770 0.0691  1 O 2.49
K: 0.8128 0.5600 0.5600  2 O 2.56-2.80
K: 0.1872 0.4400 0.4400  2 O 2.56-2.80
K: 0.2678 0.9309 0.6230  1 O 2.49
K: 0.0000 0.0000 0.0000  2 O 2.63
Au: 0.5000 0.3196 0.6804  6 K 3.35-3.51
Au: 0.5000 0.6804 0.3196  6 K 3.35-3.51
O: 0.1084 0.7362 0.7362  4 K 2.49-2.63
O: 0.8916 0.2638 0.2638  4 K 2.49-2.63

---

Short version: (one) is the most stable of them.

---

(one)
A plane-wave DFT calculation with PBE was carried out for a relaxed structure of KAu2O4.

## Properties
Density of states at the Fermi level   12.8 states/eV per cell
M_tot   0.1494 μB per atom
Symmetry   P4_2/mmc, No. 131
Crystal system   tetragonal

a b c (Å): 7.1690 7.1690 5.5661
angles (deg): 90.00 90.00 90.00
Last column: nearest neighbours and their distance in Å.
Positions (direct):
K: 0.5000 0.0000 0.0000  8 O 2.93
K: 0.0000 0.5000 0.5000  8 O 2.93
O: 0.7956 0.7956 0.7500  2 Au 2.02
O: 0.7956 0.7956 0.2500  2 Au 2.02
O: 0.7956 0.2044 0.2500  2 Au 2.02
O: 0.7956 0.2044 0.7500  2 Au 2.02
O: 0.2044 0.2044 0.2500  2 Au 2.02
O: 0.2044 0.2044 0.7500  2 Au 2.02
O: 0.2044 0.7956 0.2500  2 Au 2.02
O: 0.2044 0.7956 0.7500  2 Au 2.02
Au: 0.8005 0.0000 0.5000  4 O 2.02
Au: 0.0000 0.8005 0.0000  4 O 2.02
Au: 0.1995 0.0000 0.5000  4 O 2.02
Au: 0.0000 0.1995 0.0000  4 O 2.02

---

(two)
A plane-wave DFT calculation with PBE was carried out for a relaxed structure of KAu2O4.

## Properties
Density of states at the Fermi level   6.8 states/eV per cell
M_tot   0.1480 μB per atom
Symmetry   I4_1/a, No. 88
Crystal system   tetragonal

a b c (Å): 6.6846 6.6846 6.9697
angles (deg): 118.66 118.66 90.00
Last column: nearest neighbours and their distance in Å.
Positions (direct):
Au: 0.1250 0.8750 0.2500  4 O 2.00-2.01
Au: 0.1250 0.3750 0.2500  4 O 2.00-2.01
Au: 0.1250 0.8750 0.7500  4 O 2.00-2.01
Au: 0.6250 0.8750 0.7500  4 O 2.00-2.01
O: 0.7914 0.1932 0.0914  2 Au 2.00-2.01
O: 0.4432 0.0500 0.5914  2 Au 2.00-2.01
O: 0.4586 0.5568 0.4086  2 Au 2.00-2.01
O: 0.1018 0.2086 0.9086  2 Au 2.00-2.01
O: 0.8068 0.7000 0.9086  2 Au 2.00-2.01
O: 0.9500 0.8518 0.4086  2 Au 2.00-2.01
O: 0.3000 0.8982 0.0914  2 Au 2.00-2.01
O: 0.1482 0.5414 0.5914  2 Au 2.00-2.01
K: 0.7500 0.2500 0.5000  8 O 2.84-2.91
K: 0.5000 0.5000 0.0000  8 O 2.84-2.91

---

Short version: (two) is the most stable of them.